VASP calculation (SCAN) on a crystal of CrCdAg relaxed with PBEsol.

The structure in extended XYZ format:
```
3
Lattice="-1.680 1.680 4.531 1.680 -1.680 4.531 1.680 1.680 -4.531" Properties=species:S:1:pos:R:3 pbc="T T T"
Cr 0.000 0.000 0.000
Cd 0.000 0.000 3.000
Ag 0.000 0.000 5.965
```

**ρ**: 8.8 g/cm3
**V**: 17.056 Å³/atom
**Symmetry**: I4mm, No. 107
**ΔH_f (0 K)**: 41 kJ/mol of formula units

***

VASP calculation (SCAN) on a crystal of Cs2TlGaBr6 relaxed with PBEsol.

The structure in extended XYZ format:
```
10
Lattice="0.000 5.597 5.597 5.597 0.000 5.597 5.597 5.597 0.000" Properties=species:S:1:pos:R:3 pbc="T T T"
Cs 2.798 2.798 2.798
Cs 8.395 8.395 8.395
Tl 0.000 0.000 0.000
Ga 5.597 5.597 5.597
Br 5.597 5.597 3.057
Br 5.597 3.057 5.597
Br 8.137 5.597 5.597
Br 3.057 5.597 5.597
Br 5.597 8.137 5.597
Br 5.597 5.597 8.137
```

**ρ**: 4.8 g/cm3
**ΔE_f (raw)**: -1.33 eV/atom
**V**: 35.065 Å³/atom
**Symmetry**: Fm-3m, No. 225

***

VASP calculation (SCAN) on a crystal of CrInO2 relaxed with PBEsol.

The structure in extended XYZ format:
```
4
Lattice="1.492 0.862 6.535 -1.492 0.862 6.535 0.000 -1.723 6.535" Properties=species:S:1:pos:R:3 pbc="T T T"
Cr 0.000 0.000 0.000
In 0.000 0.000 9.803
O 0.000 0.000 7.514
O 0.000 0.000 12.092
```

**ρ**: 6.5 g/cm3
**ΔE_f (raw)**: -1.96 eV/atom
**V**: 12.606 Å³/atom
**Symmetry**: R-3m, No. 166

***

VASP calculation (SCAN) on a crystal of Tl3CoSi relaxed with PBEsol.

The structure in extended XYZ format:
```
5
Lattice="5.161 0.000 0.000 0.000 5.161 0.000 0.000 0.000 5.161" Properties=species:S:1:pos:R:3 pbc="T T T"
Tl 0.000 0.000 2.580
Tl 0.000 2.580 0.000
Tl 2.580 0.000 0.000
Co 2.580 2.580 2.580
Si 0.000 0.000 0.000
```

**ρ**: 8.5 g/cm3
**ΔE_f (raw)**: 0.92 eV/atom
**V**: 27.489 Å³/atom
**Symmetry**: Pm-3m, No. 221

***

VASP calculation (SCAN) on a crystal of SrPdNCl2 relaxed with PBEsol.

The structure in extended XYZ format:
```
5
Lattice="4.605 0.000 0.000 0.000 4.605 0.000 0.000 0.000 5.885" Properties=species:S:1:pos:R:3 pbc="T T T"
Sr 0.000 0.000 0.000
Pd 0.000 0.000 2.942
N 2.302 2.302 0.000
Cl 0.000 2.302 2.942
Cl 2.302 0.000 2.942
```

**ρ**: 3.7 g/cm3
**ΔE_f (raw)**: -0.06 eV/atom
**V**: 24.958 Å³/atom
**Symmetry**: P4/mmm, No. 123

***

VASP calculation (SCAN) on a crystal of KSr3 relaxed with PBEsol.

The structure in extended XYZ format:
```
4
Lattice="4.257 -6.107 0.000 4.257 6.107 0.000 0.000 0.000 4.211" Properties=species:S:1:pos:R:3 pbc="T T T"
K 0.000 0.000 0.000
Sr 2.129 3.053 2.106
Sr 2.129 -3.053 2.106
Sr 4.257 0.000 0.000
```

**ρ**: 2.3 g/cm3
**V**: 54.740 Å³/atom
**Symmetry**: Cmmm, No. 65
**ΔH_f (0 K)**: 34 kJ/mol of formula units